Entry from the Alexandria database: Sn2IrW after structural relaxation (PBE).

E above lowest polymorph in eV/atom: 0.000
Spin magnetization in Bohr magnetons per cell: 0.00
Crystal system: cubic

Cell: 6.6024 6.6024 6.6024 Å, 90.00 90.00 90.00°
Closest atoms and distances in Å follow each position.
Space group Fm-3m (No. 225)
Symmetry-distinct sites (fractional):
Sn 0.2500 0.2500 0.2500  4 W 2.86, 4 Ir 2.86
Ir 0.0000 0.0000 0.0000  8 Sn 2.86
W 0.0000 0.0000 0.5000  8 Sn 2.86


Entry from the Alexandria database: HoCdRh2 after structural relaxation (PBE).

Spin magnetization in Bohr magnetons per cell: 0.00
Crystal system: cubic

Cell: 6.6166 6.6166 6.6166 Å, 90.00 90.00 90.00°
Closest atoms and distances in Å follow each position.
Space group Fm-3m (No. 225)
Symmetry-distinct sites (fractional):
Ho 0.0000 0.0000 0.0000  8 Rh 2.87
Cd 0.0000 0.0000 0.5000  8 Rh 2.87
Rh 0.2500 0.2500 0.2500  4 Cd 2.87, 4 Ho 2.87


Entry from the Alexandria database: CsIn2Bi after structural relaxation (PBE).

Spin magnetization in Bohr magnetons per cell: 0.00
Crystal system: tetragonal

Cell: 5.3455 5.3455 11.6441 Å, 90.00 90.00 90.00°
Closest atoms and distances in Å follow each position.
Space group P4/nmm (No. 129, origin choice 2)
Symmetry-distinct sites (fractional):
Cs 0.2500 0.2500 0.2425  5 In 3.62-4.02, 4 Bi 3.98
In 0.2500 0.2500 0.9315  1 Bi 3.28, 1 Cs 3.62
In 0.2500 0.7500 0.5000  4 Bi 3.19
Bi 0.2500 0.2500 0.6499  5 In 3.19-3.28


Entry from the Alexandria database: Pm5CoCl5 after structural relaxation (PBE).

Spin magnetization in Bohr magnetons per cell: 0.00
Crystal system: monoclinic
Uncorrected formation energy in eV/atom: -1.3779

Cell: 12.4957 5.7014 8.4533 Å, 90.00 109.47 90.00°
Closest atoms and distances in Å follow each position.
Space group C2/m (No. 12)
Symmetry-distinct sites (fractional):
Pm 0.0000 0.0000 0.0000  2 Co 2.85, 4 Cl 2.94-3.08
Pm 0.1470 0.5000 0.2920  1 Co 2.54
Pm 0.1692 0.5000 0.8607  1 Co 2.74, 3 Cl 2.90-3.06
Co 0.0000 0.5000 0.0000  4 Pm 2.54-2.74
Cl 0.0000 0.5000 0.5000  4 Pm 2.94-3.08
Cl 0.1478 0.0000 0.7924  5 Pm 2.88-3.06
Cl 0.1719 0.0000 0.3594  5 Pm 2.90-3.14


It is found that the DFT total energy values, taken in the order of the records, are -7.0501; -5.6386; -2.6316; -5.0226 eV/atom.
It is found that the calculated volume values, taken in the order of the records, are 288; 290; 333; 568 Å³ per cell.